--- 1 ---
Compound: ZrScZn3
Source: Alexandria via LeMat-Bulk
Functional: PBE
Structure: optimized geometry

a b c (Å): 5.0320 5.0320 5.0320
angles (deg): 90.00 90.00 90.00
Space group Pm-3m (No. 221)
Unique sites:
Zr 0.0000 0.0000 0.0000 x1
Sc 0.5000 0.5000 0.5000 x1
Zn 0.0000 0.0000 0.5000 x3

***

--- 2 ---
Compound: ZrScZn3
Source: Alexandria via LeMat-Bulk
Functional: PBE
Structure: optimized geometry

a b c (Å): 4.8142 4.8142 4.8142
angles (deg): 90.00 90.00 90.00
Space group Pm-3m (No. 221)
Unique sites:
Zr 0.0000 0.0000 0.0000 x1
Sc 0.5000 0.5000 0.5000 x1
Zn 0.0000 0.5000 0.5000 x3

***

--- 3 ---
Compound: ZrScZn3
Source: Alexandria via LeMat-Bulk
Functional: PBE
Structure: optimized geometry

a b c (Å): 3.2447 25.8399 4.3309
angles (deg): 90.00 90.00 90.00
Space group Cmcm (No. 63)
Unique sites:
Zr 0.0000 0.0731 0.2500 x4
Sc 0.0000 0.2122 0.7500 x4
Zn 0.0000 0.3261 0.7500 x4
Zn 0.0000 0.3797 0.2500 x4
Zn 0.0000 0.4763 0.2500 x4

***

Relative energy of each structure, in eV/atom: 1 1.060; 2 1.065; 3 0.000.

***

--- 1 ---
Compound: Zr3ScZn
Source: Alexandria via LeMat-Bulk
Functional: PBE
Structure: optimized geometry

a b c (Å): 5.0148 5.0148 5.0148
angles (deg): 90.00 90.00 90.00
Space group Pm-3m (No. 221)
Unique sites:
Zr 0.0000 0.0000 0.5000 x3
Sc 0.0000 0.0000 0.0000 x1
Zn 0.5000 0.5000 0.5000 x1

***

--- 2 ---
Compound: Zr3ScZn
Source: Alexandria via LeMat-Bulk
Functional: PBE
Structure: optimized geometry

a b c (Å): 6.6159 13.7827 5.2832
angles (deg): 90.00 90.00 90.00
Space group Cmc2_1 (No. 36)
Unique sites:
Zr 0.0000 0.0735 0.0000 x4
Zr 0.2339 0.1175 0.5094 x8
Sc 0.0000 0.4246 0.5279 x4
Zn 0.0000 0.2534 0.2403 x4

***

Relative energy of each structure, in eV/atom: 1 0.910; 2 0.000.

***

--- 1 ---
Compound: ZrSc3
Source: Alexandria via LeMat-Bulk
Functional: PBE
Structure: optimized geometry

a b c (Å): 4.5630 4.5630 4.5630
angles (deg): 90.00 90.00 90.00
Space group Pm-3m (No. 221)
Unique sites:
Zr 0.0000 0.0000 0.0000 x1
Sc 0.0000 0.5000 0.5000 x3

***

--- 2 ---
Compound: ZrSc3
Source: Alexandria via LeMat-Bulk
Functional: PBE
Structure: optimized geometry

a b c (Å): 5.7904 5.7904 5.7904
angles (deg): 90.00 90.00 90.00
Space group Pm-3n (No. 223)
Unique sites:
Zr 0.0000 0.0000 0.0000 x2
Sc 0.0000 0.2500 0.5000 x6

***

--- 3 ---
Compound: ZrSc3
Source: Alexandria via LeMat-Bulk
Functional: PBE
Structure: optimized geometry

a b c (Å): 3.2683 5.1301 5.7203
angles (deg): 90.00 90.00 90.00
Space group Pmm2 (No. 25)
Unique sites:
Zr 0.0000 0.0000 0.0000 x1
Sc 0.0000 0.5000 0.6711 x1
Sc 0.5000 0.0000 0.4944 x1
Sc 0.5000 0.5000 0.1615 x1

***

Relative energy of each structure, in eV/atom: 1 0.037; 2 0.211; 3 0.000.

***

--- 1 ---
Compound: ZrSc3
Source: Alexandria via LeMat-Bulk
Functional: PBE
Structure: optimized geometry

a b c (Å): 10.6797 3.2219 5.6251
angles (deg): 90.00 99.81 90.00
Space group C2/m (No. 12)
Unique sites:
Zr 0.0000 0.0000 0.0000 x2
Sc 0.0000 0.5000 0.5000 x2
Sc 0.2480 0.5000 0.2412 x4

***

--- 2 ---
Compound: ZrSc3
Source: Alexandria via LeMat-Bulk
Functional: PBE
Structure: optimized geometry

a b c (Å): 5.1241 6.5663 5.6922
angles (deg): 90.00 90.00 90.00
Space group Pmmn (No. 59, origin choice 2)
Unique sites:
Zr 0.2500 0.2500 0.1651 x2
Sc 0.2500 0.0021 0.6666 x4
Sc 0.2500 0.7500 0.1625 x2

***

--- 3 ---
Compound: ZrSc3
Source: Alexandria via LeMat-Bulk
Functional: PBE
Structure: optimized geometry

a b c (Å): 7.2633 7.2633 7.2633
angles (deg): 90.00 90.00 90.00
Space group Fm-3m (No. 225)
Unique sites:
Zr 0.0000 0.0000 0.0000 x4
Sc 0.0000 0.0000 0.5000 x4
Sc 0.2500 0.2500 0.2500 x8

***

Relative energy of each structure, in eV/atom: 1 0.038; 2 0.000; 3 0.136.

***

--- 1 ---
Compound: Zr4Sc3
Source: Alexandria via LeMat-Bulk
Functional: PBE
Structure: optimized geometry

a b c (Å): 5.8895 5.8895 5.6178
angles (deg): 90.00 90.00 120.00
Space group P6/mmm (No. 191)
Unique sites:
Zr 0.0000 0.0000 0.2375 x2
Zr 0.3333 0.6667 0.0000 x2
Sc 0.0000 0.5000 0.5000 x3

***

--- 2 ---
Compound: Zr4Sc3
Source: Alexandria via LeMat-Bulk
Functional: PBE
Structure: optimized geometry

a b c (Å): 3.7769 3.7769 22.9628
angles (deg): 90.00 90.00 90.00
Space group I4/mmm (No. 139)
Unique sites:
Zr 0.0000 0.0000 0.0747 x4
Zr 0.0000 0.0000 0.3619 x4
Sc 0.0000 0.0000 0.2106 x4
Sc 0.0000 0.0000 0.5000 x2

***

--- 3 ---
Compound: Zr4Sc3
Source: Alexandria via LeMat-Bulk
Functional: PBE
Structure: optimized geometry

a b c (Å): 8.6271 8.6271 5.1509
angles (deg): 90.00 90.00 120.00
Space group P6_3/m (No. 176)
Unique sites:
Zr 0.0988 0.6152 0.2500 x6
Zr 0.3333 0.6667 0.7500 x2
Sc 0.0483 0.8062 0.7500 x6

***

Relative energy of each structure, in eV/atom: 1 0.306; 2 0.093; 3 0.000.